(1)
A relaxed structure of HSeBr2. Source: Alexandria via LeMat-Bulk, functional PBEsol.

The structure belongs to space group R-3m (No. 166, hexagonal axes); the cell edges are 3.4611, 3.4611 and 23.8778 Å and the angles 90.00°, 90.00° and 120.00°. The inequivalent atoms are H at (0.0000, 0.0000, 0.0000), Se at (0.0000, 0.0000, 0.5000) and Br at (0.0000, 0.0000, 0.0714).

Its density is 4.822 g cm⁻³. The raw total energy is -2.364 eV per atom.



(2)
A relaxed structure of BeCdHg2. Source: Alexandria via LeMat-Bulk, functional PBEsol.

The structure belongs to space group Pmmm (No. 47); the cell edges are 2.9520, 3.1321 and 7.8569 Å and the angles 90.00°, 90.00° and 90.00°. The inequivalent atoms are Be at (0.0000, 0.0000, 0.0000), Cd at (0.0000, 0.0000, 0.5000) and Hg at (0.5000, 0.5000, 0.2052).

For the energy of formation from the pure elements, the calculation gives 94 kJ/mol of formula units. Its density is 11.946 g cm⁻³. The raw total energy is -1.339 eV per atom. For the offset from the most stable computed form, the calculation gives 0.092 eV/atom.



(3)
A relaxed structure of SmGe2Rh2. Source: Alexandria via LeMat-Bulk, functional PBEsol.

The structure belongs to space group I4/mmm (No. 139); the cell edges are 4.0960, 4.0960 and 10.3243 Å and the angles 90.00°, 90.00° and 90.00°. The inequivalent atoms are Sm at (0.0000, 0.0000, 0.0000), Ge at (0.0000, 0.0000, 0.3777) and Rh at (0.0000, 0.5000, 0.2500).

For the energy of formation from the pure elements, the calculation gives -449 kJ/mol of formula units. Its density is 9.615 g cm⁻³. The raw total energy is -7.181 eV per atom.



(4)
A relaxed structure of MnZn2Re. Source: Alexandria via LeMat-Bulk, functional PBEsol.

The structure belongs to space group R3m (No. 160, hexagonal axes); the cell edges are 2.6688, 2.6688 and 25.8409 Å and the angles 90.00°, 90.00° and 120.00°. The inequivalent atoms are Mn at (0.0000, 0.0000, 0.0000), Zn at (0.0000, 0.0000, 0.2527), Zn at (0.0000, 0.0000, 0.4976) and Re at (0.0000, 0.0000, 0.7417).

For the energy of formation from the pure elements, the calculation gives 39 kJ/mol of formula units. Its density is 11.625 g cm⁻³. The raw total energy is -6.463 eV per atom. For the offset from the most stable computed form, the calculation gives 0.000 eV/atom.



(5)
A relaxed structure of CrHgW2Au. Source: Alexandria via LeMat-Bulk, functional PBEsol.

The structure belongs to space group P4/mmm (No. 123); the cell edges are 4.4090, 4.4090 and 4.8674 Å and the angles 90.00°, 90.00° and 90.00°. The inequivalent atoms are Cr at (0.0000, 0.0000, 0.0000), Hg at (0.0000, 0.0000, 0.5000), W at (0.0000, 0.5000, 0.0000) and Au at (0.5000, 0.5000, 0.5000).

For the energy of formation from the pure elements, the calculation gives 772 kJ/mol of formula units. Its density is 14.342 g cm⁻³. The raw total energy is -6.869 eV per atom.



(6)
A relaxed structure of ZnCd2Os. Source: Alexandria via LeMat-Bulk, functional PBEsol.

The structure belongs to space group P4/mmm (No. 123); the cell edges are 3.4228, 3.4228 and 5.6958 Å and the angles 90.00°, 90.00° and 90.00°. The inequivalent atoms are Zn at (0.0000, 0.0000, 0.0000), Cd at (0.5000, 0.5000, 0.2527) and Os at (0.0000, 0.0000, 0.5000).

For the energy of formation from the pure elements, the calculation gives 206 kJ/mol of formula units. Its density is 11.956 g cm⁻³. The raw total energy is -3.515 eV per atom.



(7)
A relaxed structure of Ba2Ag. Source: Alexandria via LeMat-Bulk, functional PBEsol.

The structure belongs to space group Fd-3m (No. 227, origin choice 2); the cell edges are 15.6336, 15.6336 and 15.6336 Å and the angles 90.00°, 90.00° and 90.00°. The inequivalent atoms are Ba at (0.0000, 0.0000, 0.0000), Ba at (0.0627, 0.3750, 0.8750) and Ag at (0.0272, 0.0272, 0.2228).

For the energy of formation from the pure elements, the calculation gives -24 kJ/mol of formula units. Its density is 5.320 g cm⁻³. The raw total energy is -2.619 eV per atom. For the offset from the most stable computed form, the calculation gives 0.055 eV/atom.



(8)
A relaxed structure of InPd. Source: Alexandria via LeMat-Bulk, functional PBEsol.

The structure belongs to space group Pm-3m (No. 221); the cell edges are 3.2439, 3.2439 and 3.2439 Å and the angles 90.00°, 90.00° and 90.00°. The inequivalent atoms are In at (0.0000, 0.0000, 0.0000) and Pd at (0.5000, 0.5000, 0.5000).

For the energy of formation from the pure elements, the calculation gives -102 kJ/mol of formula units. Its density is 10.762 g cm⁻³. The raw total energy is -5.001 eV per atom.